1.
Entry from Alexandria: a geometry-optimized Ho12IrPt6 structure (PBE-GGA).

POSCAR file:
```
Ho12IrPt6
1.0
6.2559 3.6119 3.8622
-6.2559 3.6119 3.8622
0.0000 -7.2237 3.8622
Ho Ir Pt
12 1 6
direct
0.0484 0.9260 0.6785
0.0740 0.3215 0.9516
0.1771 0.5795 0.4222
0.3215 0.9516 0.0740
0.4205 0.5778 0.8229
0.4222 0.1771 0.5795
0.5778 0.8229 0.4205
0.5795 0.4222 0.1771
0.6785 0.0484 0.9260
0.8229 0.4205 0.5778
0.9260 0.6785 0.0484
0.9516 0.0740 0.3215
0.0000 0.0000 0.0000
0.1352 0.3090 0.6173
0.3089 0.6173 0.1352
0.3827 0.8648 0.6911
0.6173 0.1352 0.3089
0.6911 0.3827 0.8648
0.8648 0.6911 0.3827
```

Values from the calculation:
Space-group type: R-3, No. 148
Total magnetization: 0.00 μB/f.u.
Energy: -6.178 eV/atom
Volume: 524 Å³/cell
Formation energy from the elements: -0.913 eV/atom


2.
Entry from Alexandria: a geometry-optimized NaNdSe2 structure (PBE-GGA).

POSCAR file:
```
NaNdSe2
1.0
2.1232 1.2259 7.3321
-2.1232 1.2259 7.3321
0.0000 -2.4517 7.3321
Na Nd Se
1 1 2
direct
0.0000 0.0000 0.0000
0.8286 0.8286 0.8286
0.2386 0.2386 0.2386
0.4185 0.4185 0.4185
```

Values from the calculation:
Polymorph energy (0 for the lowest one): 15 kJ/mol of formula units
Space-group type: R3m, No. 160
Total magnetization: 0.00 μB/f.u.
Energy: -4.908 eV/atom
Volume: 115 Å³/cell
Uncorrected formation energy: -6.578 eV/f.u.


3.
Entry from Alexandria: a geometry-optimized Nb3GaCu structure (PBE-GGA).

POSCAR file:
```
Nb3GaCu
1.0
4.6493 0.0000 0.0000
0.0000 4.6493 0.0000
0.0000 0.0000 4.6493
Nb Ga Cu
3 1 1
direct
0.0000 0.0000 0.5000
0.0000 0.5000 0.0000
0.5000 0.0000 0.0000
0.5000 0.5000 0.5000
0.0000 0.0000 0.0000
```

Values from the calculation:
Polymorph energy (0 for the lowest one): 0 kJ/mol of formula units
Space-group type: Pm-3m, No. 221
Total magnetization: 0.00 μB/f.u.
Energy: -6.516 eV/atom
Volume: 100 Å³/cell
Formation energy from the elements: 0.950 eV/atom


4.
Entry from Alexandria: a geometry-optimized Sr2LaHgN structure (PBE-GGA).

POSCAR file:
```
Sr2LaHgN
1.0
5.4101 0.0000 0.0000
0.0000 5.4101 0.0000
0.0000 0.0000 4.8840
Sr La Hg N
2 1 1 1
direct
0.0000 0.5000 0.0000
0.5000 0.0000 0.0000
0.0000 0.0000 0.5000
0.5000 0.5000 0.5000
0.0000 0.0000 0.0000
```

Values from the calculation:
Space-group type: P4/mmm, No. 123
Total magnetization: 0.00 μB/f.u.
Energy: -4.004 eV/atom
Volume: 143 Å³/cell
Uncorrected formation energy: -3.101 eV/f.u.


5.
Entry from Alexandria: a geometry-optimized PmPrErAl structure (PBE-GGA).

POSCAR file:
```
PmPrErAl
1.0
3.5549 0.0000 0.0000
0.0000 3.5549 0.0000
0.0000 0.0000 9.2683
Pm Pr Er Al
1 1 1 1
direct
0.0000 0.0000 0.0000
0.5000 0.5000 0.3017
0.0000 0.0000 0.5835
0.5000 0.5000 0.7836
```

Values from the calculation:
Polymorph energy (0 for the lowest one): 0 kJ/mol of formula units
Space-group type: P4mm, No. 99
Total magnetization: 0.00 μB/f.u.
Energy: -4.638 eV/atom
Volume: 117 Å³/cell
Formation energy from the elements: -0.179 eV/atom


6.
Entry from Alexandria: a geometry-optimized SrSc2Ga structure (PBE-GGA).

POSCAR file:
```
SrSc2Ga
1.0
1.7022 0.9828 11.7187
-1.7022 0.9828 11.7187
0.0000 -1.9655 11.7187
Sr Sc Ga
1 2 1
direct
0.0000 0.0000 0.0000
0.4200 0.4200 0.4200
0.5800 0.5800 0.5800
0.5000 0.5000 0.5000
```

Values from the calculation:
Space-group type: R-3m, No. 166
Total magnetization: 0.00 μB/f.u.
Energy: -3.930 eV/atom
Volume: 118 Å³/cell
Formation energy from the elements: 0.413 eV/atom


7.
Entry from Alexandria: a geometry-optimized Cr2SiSb structure (PBE-GGA).

POSCAR file:
```
Cr2SiSb
1.0
3.0708 0.0000 0.0000
0.0000 3.0708 0.0000
0.0000 0.0000 6.2296
Cr Si Sb
2 1 1
direct
0.0000 0.0000 0.1962
0.0000 0.0000 0.8038
0.5000 0.5000 0.0000
0.5000 0.5000 0.5000
```

Values from the calculation:
Polymorph energy (0 for the lowest one): 38 kJ/mol of formula units
Space-group type: P4/mmm, No. 123
Total magnetization: 0.00 μB/f.u.
Energy: -6.939 eV/atom
Volume: 59 Å³/cell
Uncorrected formation energy: 1.035 eV/f.u.


8.
Entry from Alexandria: a geometry-optimized MgZn3Cu3 structure (PBE-GGA).

POSCAR file:
```
MgZn3Cu3
1.0
7.2042 0.0000 0.0000
-3.6021 6.2390 0.0000
0.0000 0.0000 4.3677
Mg Zn Cu
2 6 6
direct
0.3333 0.6667 0.2500
0.6667 0.3333 0.7500
0.0871 0.4535 0.7500
0.3663 0.9129 0.7500
0.4535 0.3663 0.2500
0.5465 0.6337 0.7500
0.6337 0.0871 0.2500
0.9129 0.5465 0.2500
0.0359 0.2266 0.2500
0.1907 0.9641 0.2500
0.2266 0.1907 0.7500
0.7734 0.8093 0.2500
0.8093 0.0359 0.7500
0.9641 0.7734 0.7500
```

Values from the calculation:
Polymorph energy (0 for the lowest one): 28 kJ/mol of formula units
Space-group type: P6_3/m, No. 176
Total magnetization: 0.00 μB/f.u.
Energy: -2.583 eV/atom
Volume: 196 Å³/cell
Formation energy from the elements: -0.054 eV/atom


9.
Entry from Alexandria: a geometry-optimized Rb8HBr4Cl3 structure (PBE-GGA).

POSCAR file:
```
Rb8HBr4Cl3
1.0
4.8067 2.7751 7.8772
-4.8067 2.7751 7.8772
0.0000 -5.5503 7.8772
Rb H Br Cl
8 1 4 3
direct
0.2461 0.2461 0.2461
0.2515 0.7410 0.7410
0.2590 0.2590 0.7485
0.2590 0.7485 0.2590
0.7410 0.2515 0.7410
0.7410 0.7410 0.2515
0.7485 0.2590 0.2590
0.7539 0.7539 0.7539
0.5000 0.5000 0.5000
0.0000 0.0000 0.0000
0.0000 0.5000 0.5000
0.5000 0.0000 0.5000
0.5000 0.5000 0.0000
0.0000 0.0000 0.5000
0.0000 0.5000 0.0000
0.5000 0.0000 0.0000
```

Values from the calculation:
Space-group type: R-3m, No. 166
Total magnetization: 0.07 μB/f.u.
Energy: -3.072 eV/atom
Volume: 630 Å³/cell


10.
Entry from Alexandria: a geometry-optimized MnBiSe2 structure (PBE-GGA).

POSCAR file:
```
MnBiSe2
1.0
4.3221 0.0000 0.0000
-1.6503 6.3910 0.0000
-1.8843 -1.3102 6.9629
Mn Bi Se
2 2 4
direct
0.1419 0.4746 0.4185
0.8581 0.5254 0.5815
0.1983 0.2893 0.8688
0.8017 0.7107 0.1312
0.1903 0.7902 0.8478
0.4136 0.2229 0.5318
0.5864 0.7771 0.4682
0.8097 0.2098 0.1522
```

Values from the calculation:
Space-group type: P-1, No. 2
Total magnetization: 0.00 μB/f.u.
Energy: -5.155 eV/atom
Volume: 192 Å³/cell
Uncorrected formation energy: -0.599 eV/f.u.


11.
Entry from Alexandria: a geometry-optimized PuHfB structure (PBE-GGA).

POSCAR file:
```
PuHfB
1.0
1.7022 -8.2295 0.0000
1.7022 8.2295 0.0000
0.0000 0.0000 3.1855
Pu Hf B
2 2 2
direct
0.2244 0.7756 0.7500
0.7756 0.2244 0.2500
0.4184 0.5816 0.7500
0.5816 0.4184 0.2500
0.0267 0.9733 0.7500
0.9733 0.0267 0.2500
```

Values from the calculation:
Space-group type: Cmcm, No. 63
Total magnetization: 0.00 μB/f.u.
Energy: -10.656 eV/atom
Volume: 89 Å³/cell
Formation energy from the elements: -0.335 eV/atom


12.
Entry from Alexandria: a geometry-optimized Ti2InRu2 structure (PBE-GGA).

POSCAR file:
```
Ti2InRu2
1.0
7.4859 0.0000 0.0000
0.0000 7.4859 0.0000
0.0000 0.0000 2.9702
Ti In Ru
4 2 4
direct
0.1382 0.3618 0.0000
0.3618 0.8618 0.0000
0.6382 0.1382 0.0000
0.8618 0.6382 0.0000
0.0000 0.0000 0.0000
0.5000 0.5000 0.0000
0.1543 0.6543 0.5000
0.3457 0.1543 0.5000
0.6543 0.8457 0.5000
0.8457 0.3457 0.5000
```

Values from the calculation:
Space-group type: P4/mbm, No. 127
Total magnetization: 0.00 μB/f.u.
Energy: -7.605 eV/atom
Volume: 166 Å³/cell
Formation energy from the elements: -0.189 eV/atom